PBEsol MgZr3, optimized geometry; DOS at the Fermi energy = 3.11 states/eV/cell; E_form = 0.050 eV per atom; total DFT energy (no corrections) = -0.52898 Ry per atom
1.0
3.1391 0.0000 0.0000
-1.5695 2.7185 0.0000
0.0000 0.0000 10.4772
Mg Zr
1 3
Direct
0.0000 0.0000 0.5000
0.3333 0.6667 0.2435
0.3333 0.6667 0.7565
0.0000 0.0000 0.0000